LaIn2BiRh: optimized geometry, PBE.

DFT formation energy: -0.525 eV/atom
N(E_F): 3.096 states/eV/f.u.
raw total energy: -4.8527 eV/atom

abc: 5.176 5.176 5.401
angles: 90.00 90.00 90.00
Space group P4/mmm (No. 123)
Symmetry-distinct sites (fractional):
La (0.000, 0.000, 0.000) (multiplicity 1)
In (0.000, 0.500, 0.500) (multiplicity 2)
Bi (0.500, 0.500, 0.000) (multiplicity 1)
Rh (0.000, 0.000, 0.500) (multiplicity 1)


La2InBiRu: optimized geometry, PBE.

DFT formation energy: -0.565 eV/atom
N(E_F): 2.766 states/eV/f.u.
raw total energy: -5.7153 eV/atom

abc: 5.424 5.424 5.206
angles: 90.00 90.00 90.00
Space group P4/mmm (No. 123)
Symmetry-distinct sites (fractional):
La (0.000, 0.500, 0.000) (multiplicity 2)
In (0.000, 0.000, 0.500) (multiplicity 1)
Bi (0.500, 0.500, 0.500) (multiplicity 1)
Ru (0.000, 0.000, 0.000) (multiplicity 1)


LaIn2BiRu: optimized geometry, PBE.

DFT formation energy: -0.257 eV/atom
N(E_F): 5.646 states/eV/f.u.
raw total energy: -4.9687 eV/atom

abc: 5.224 5.224 5.258
angles: 90.00 90.00 90.00
Space group P4/mmm (No. 123)
Symmetry-distinct sites (fractional):
La (0.000, 0.000, 0.000) (multiplicity 1)
In (0.000, 0.500, 0.500) (multiplicity 2)
Bi (0.500, 0.500, 0.000) (multiplicity 1)
Ru (0.000, 0.000, 0.500) (multiplicity 1)


La2InBiSb: optimized geometry, PBE.

raw formation energy: 0.4 eV per formula unit
N(E_F): 5.840 states/eV/f.u.
raw total energy: -4.0328 eV/atom

abc: 6.075 6.075 5.400
angles: 90.00 90.00 90.00
Space group P4/mmm (No. 123)
Symmetry-distinct sites (fractional):
La (0.000, 0.500, 0.000) (multiplicity 2)
In (0.000, 0.000, 0.000) (multiplicity 1)
Bi (0.000, 0.000, 0.500) (multiplicity 1)
Sb (0.500, 0.500, 0.500) (multiplicity 1)


LaIn2BiSe4: optimized geometry, PBE.

raw formation energy: -6.9 eV per formula unit
N(E_F): 0.095 states/eV/f.u.
raw total energy: -4.3931 eV/atom

abc: 7.518 4.351 7.981
angles: 90.00 108.50 90.00
Space group P2/m (No. 10)
Symmetry-distinct sites (fractional):
La (0.000, 0.000, 0.000) (multiplicity 1)
In (0.000, 0.500, 0.500) (multiplicity 1)
In (0.500, 0.000, 0.500) (multiplicity 1)
Bi (0.500, 0.500, 0.000) (multiplicity 1)
Se (0.241, 0.500, 0.220) (multiplicity 2)
Se (0.261, 0.000, 0.778) (multiplicity 2)


LaInBiSe: optimized geometry, PBE.

raw formation energy: -3.6 eV per formula unit
N(E_F): 1.255 states/eV/f.u.
raw total energy: -4.6522 eV/atom

abc: 5.274 5.274 8.708
angles: 90.00 90.00 90.00
Space group P4/nmm (No. 129, origin choice 2)
Symmetry-distinct sites (fractional):
La (0.250, 0.250, 0.167) (multiplicity 2)
In (0.250, 0.750, 0.500) (multiplicity 2)
Bi (0.250, 0.250, 0.689) (multiplicity 2)
Se (0.250, 0.750, 0.000) (multiplicity 2)


SrLaInBi2: optimized geometry, PBE.

DFT formation energy: 0.239 eV/atom
N(E_F): 5.915 states/eV/f.u.
raw total energy: -3.1826 eV/atom

abc: 5.979 5.979 5.734
angles: 90.00 90.00 90.00
Space group P4/mmm (No. 123)
Symmetry-distinct sites (fractional):
Sr (0.000, 0.000, 0.000) (multiplicity 1)
La (0.500, 0.500, 0.500) (multiplicity 1)
In (0.000, 0.000, 0.500) (multiplicity 1)
Bi (0.000, 0.500, 0.000) (multiplicity 2)


LaIn2BiTe4: optimized geometry, PBE.

raw formation energy: -5.1 eV per formula unit
N(E_F): 0.141 states/eV/f.u.
raw total energy: -3.9981 eV/atom

abc: 7.984 4.599 8.334
angles: 90.00 108.68 90.00
Space group P2/m (No. 10)
Symmetry-distinct sites (fractional):
La (0.000, 0.000, 0.000) (multiplicity 1)
In (0.000, 0.500, 0.500) (multiplicity 1)
In (0.500, 0.000, 0.500) (multiplicity 1)
Bi (0.500, 0.500, 0.000) (multiplicity 1)
Te (0.245, 0.500, 0.231) (multiplicity 2)
Te (0.259, 0.000, 0.769) (multiplicity 2)


LaInBiTe: optimized geometry, PBE.

raw formation energy: -2.8 eV per formula unit
N(E_F): 1.165 states/eV/f.u.
raw total energy: -4.3603 eV/atom

abc: 5.420 5.420 8.806
angles: 90.00 90.00 90.00
Space group P4/nmm (No. 129, origin choice 2)
Symmetry-distinct sites (fractional):
La (0.250, 0.250, 0.198) (multiplicity 2)
In (0.250, 0.750, 0.500) (multiplicity 2)
Bi (0.250, 0.250, 0.684) (multiplicity 2)
Te (0.250, 0.750, 0.000) (multiplicity 2)


La6InBi2Te3: optimized geometry, PBE.

raw formation energy: -14.6 eV per formula unit
N(E_F): 4.524 states/eV/f.u.
raw total energy: -5.3413 eV/atom

abc: 20.219 4.607 9.348
angles: 90.00 102.82 90.00
Space group C2/m (No. 12)
Symmetry-distinct sites (fractional):
La (0.000, 0.000, 0.248) (multiplicity 4)
La (0.164, 0.500, 0.083) (multiplicity 4)
La (0.167, 0.500, 0.583) (multiplicity 4)
In (0.000, 0.500, 0.000) (multiplicity 2)
Bi (0.167, 0.000, 0.335) (multiplicity 4)
Te (0.000, 0.500, 0.500) (multiplicity 2)
Te (0.168, 0.000, 0.833) (multiplicity 4)


LaTlInBi: optimized geometry, PBE.

DFT formation energy: -0.496 eV/atom
N(E_F): 2.293 states/eV/f.u.
raw total energy: -3.9738 eV/atom

abc: 4.756 4.881 5.123
angles: 90.00 90.00 90.00
Space group Pmmm (No. 47)
Symmetry-distinct sites (fractional):
La (0.000, 0.000, 0.000) (multiplicity 1)
Tl (0.500, 0.000, 0.500) (multiplicity 1)
In (0.000, 0.500, 0.500) (multiplicity 1)
Bi (0.500, 0.500, 0.000) (multiplicity 1)


LiIn6Bi: optimized geometry, PBE.

DFT formation energy: -0.051 eV/atom
N(E_F): 4.296 states/eV/f.u.
raw total energy: -2.8295 eV/atom

abc: 6.997 6.997 4.331
angles: 90.00 90.00 90.00
Space group P4/mmm (No. 123)
Symmetry-distinct sites (fractional):
Li (0.000, 0.000, 0.000) (multiplicity 1)
In (0.000, 0.500, 0.000) (multiplicity 2)
In (0.239, 0.239, 0.500) (multiplicity 4)
Bi (0.500, 0.500, 0.000) (multiplicity 1)


Li6InBi5: optimized geometry, PBE.

DFT formation energy: -0.372 eV/atom
N(E_F): 3.011 states/eV/f.u.
raw total energy: -3.1743 eV/atom

abc: 5.341 6.727 7.905
angles: 90.00 95.01 90.00
Space group P2/m (No. 10)
Symmetry-distinct sites (fractional):
Li (0.000, 0.241, 0.000) (multiplicity 2)
Li (0.332, 0.247, 0.661) (multiplicity 4)
In (0.500, 0.500, 0.000) (multiplicity 1)
Bi (0.164, 0.500, 0.320) (multiplicity 2)
Bi (0.169, 0.000, 0.332) (multiplicity 2)
Bi (0.500, 0.000, 0.000) (multiplicity 1)


Li2InBi3: optimized geometry, PBE.

E above lowest polymorph: 0 meV/atom
DFT formation energy: -0.233 eV/atom
N(E_F): 2.799 states/eV/f.u.
raw total energy: -3.2674 eV/atom

abc: 3.436 3.436 13.194
angles: 90.00 90.00 90.00
Space group P4/mmm (No. 123)
Symmetry-distinct sites (fractional):
Li (0.000, 0.000, 0.151) (multiplicity 2)
In (0.000, 0.000, 0.500) (multiplicity 1)
Bi (0.500, 0.500, 0.000) (multiplicity 1)
Bi (0.500, 0.500, 0.300) (multiplicity 2)


Li2In2Bi: optimized geometry, PBE.

E above lowest polymorph: 0 meV/atom
DFT formation energy: -0.212 eV/atom
N(E_F): 1.718 states/eV/f.u.
raw total energy: -2.8494 eV/atom

abc: 4.886 4.789 10.205
angles: 90.00 90.18 90.00
Space group P2_1/m (No. 11)
Symmetry-distinct sites (fractional):
Li (0.247, 0.250, 0.001) (multiplicity 2)
Li (0.250, 0.250, 0.336) (multiplicity 2)
In (0.249, 0.750, 0.503) (multiplicity 2)
In (0.250, 0.750, 0.817) (multiplicity 2)
Bi (0.254, 0.750, 0.176) (multiplicity 2)


LiIn2Bi3: optimized geometry, PBE.

DFT formation energy: -0.061 eV/atom
N(E_F): 3.016 states/eV/f.u.
raw total energy: -3.2328 eV/atom

abc: 17.150 6.910 5.892
angles: 90.00 91.95 90.00
Space group C2/c (No. 15)
Symmetry-distinct sites (fractional):
Li (0.000, 0.134, 0.250) (multiplicity 4)
In (0.178, 0.387, 0.106) (multiplicity 8)
Bi (0.000, 0.379, 0.750) (multiplicity 4)
Bi (0.145, 0.116, 0.588) (multiplicity 8)


LiIn8Bi2: optimized geometry, PBE.

DFT formation energy: 0.036 eV/atom
N(E_F): 4.336 states/eV/f.u.
raw total energy: -2.8356 eV/atom

abc: 12.904 9.187 5.541
angles: 90.00 96.23 90.00
Space group C2/m (No. 12)
Symmetry-distinct sites (fractional):
Li (0.000, 0.000, 0.000) (multiplicity 2)
In (0.086, 0.277, 0.825) (multiplicity 8)
In (0.106, 0.500, 0.377) (multiplicity 4)
In (0.246, 0.000, 0.046) (multiplicity 4)
Bi (0.125, 0.000, 0.510) (multiplicity 4)


Li3In12Bi: optimized geometry, PBE.

DFT formation energy: -0.082 eV/atom
N(E_F): 7.008 states/eV/f.u.
raw total energy: -2.7368 eV/atom

abc: 4.734 4.734 17.995
angles: 90.00 90.00 90.00
Space group P4/mmm (No. 123)
Symmetry-distinct sites (fractional):
Li (0.000, 0.000, 0.000) (multiplicity 1)
Li (0.000, 0.000, 0.236) (multiplicity 2)
In (0.000, 0.500, 0.121) (multiplicity 4)
In (0.000, 0.500, 0.363) (multiplicity 4)
In (0.500, 0.500, 0.000) (multiplicity 1)
In (0.500, 0.500, 0.242) (multiplicity 2)
In (0.500, 0.500, 0.500) (multiplicity 1)
Bi (0.000, 0.000, 0.500) (multiplicity 1)


Li3In3Bi2: optimized geometry, PBE.

DFT formation energy: -0.202 eV/atom
N(E_F): 3.673 states/eV/f.u.
raw total energy: -2.9172 eV/atom

abc: 8.2772 8.2772 10.1457
angles: 90.00 90.00 120.00
Space group R32 (No. 155, hexagonal axes)
Symmetry-distinct sites (fractional):
Li (0.0000, 0.7364, 0.0000) (multiplicity 9)
In (0.0000, 0.2440, 0.5000) (multiplicity 9)
Bi (0.0000, 0.0000, 0.2313) (multiplicity 6)


LiIn5Bi2: optimized geometry, PBE.

DFT formation energy: -0.055 eV/atom
N(E_F): 4.594 states/eV/f.u.
raw total energy: -2.9761 eV/atom

abc: 6.933 13.738 4.624
angles: 90.00 90.00 90.00
Space group Pbam (No. 55)
Symmetry-distinct sites (fractional):
Li (0.000, 0.000, 0.000) (multiplicity 2)
In (0.000, 0.500, 0.000) (multiplicity 2)
In (0.010, 0.249, 0.000) (multiplicity 4)
In (0.242, 0.626, 0.500) (multiplicity 4)
Bi (0.227, 0.881, 0.500) (multiplicity 4)


LiInBi2: optimized geometry, PBE.

DFT formation energy: -0.100 eV/atom
N(E_F): 1.683 states/eV/f.u.
raw total energy: -3.2032 eV/atom

abc: 4.8140 4.8140 17.2550
angles: 90.00 90.00 120.00
Space group R3m (No. 160, hexagonal axes)
Symmetry-distinct sites (fractional):
Li (0.0000, 0.0000, 0.0000) (multiplicity 3)
In (0.0000, 0.0000, 0.8277) (multiplicity 3)
Bi (0.0000, 0.0000, 0.3966) (multiplicity 3)
Bi (0.0000, 0.0000, 0.5931) (multiplicity 3)


Li3In4Bi: optimized geometry, PBE.

DFT formation energy: -0.154 eV/atom
N(E_F): 3.560 states/eV/f.u.
raw total energy: -2.7260 eV/atom

abc: 3.324 4.678 12.495
angles: 80.38 82.52 89.75
Space group P-1 (No. 2)
Symmetry-distinct sites (fractional):
Li (0.000, 0.000, 0.000) (multiplicity 1)
Li (0.148, 0.645, 0.706) (multiplicity 2)
In (0.281, 0.777, 0.440) (multiplicity 2)
In (0.399, 0.901, 0.197) (multiplicity 2)
Bi (0.500, 0.500, 0.000) (multiplicity 1)


Li8InBi6: optimized geometry, PBE.

DFT formation energy: -0.243 eV/atom
N(E_F): 7.116 states/eV/f.u.
raw total energy: -2.9988 eV/atom

abc: 8.5717 8.5717 16.9064
angles: 90.00 90.00 120.00
Space group R-3 (No. 148, hexagonal axes)
Symmetry-distinct sites (fractional):
Li (0.0000, 0.0000, 0.2010) (multiplicity 6)
Li (0.0316, 0.6221, 0.0712) (multiplicity 18)
In (0.0000, 0.0000, 0.5000) (multiplicity 3)
Bi (0.0143, 0.7422, 0.9143) (multiplicity 18)


Li6InBi: optimized geometry, PBE.

DFT formation energy: -0.310 eV/atom
N(E_F): 2.581 states/eV/f.u.
raw total energy: -2.5733 eV/atom

abc: 6.1154 6.1154 4.7972
angles: 90.00 90.00 120.00
Space group P-6m2 (No. 187)
Symmetry-distinct sites (fractional):
Li (0.0098, 0.5049, 0.0000) (multiplicity 3)
Li (0.3243, 0.1622, 0.5000) (multiplicity 3)
In (0.0000, 0.0000, 0.0000) (multiplicity 1)
Bi (0.3333, 0.6667, 0.5000) (multiplicity 1)